Ta2FeRh, optimized geometry, DFT PBE; DFT formation energy = -0.2288 eV per atom; total magnetization = 2.2 Bohr magnetons per cell
1.0
3.1875 0.0000 0.0000
0.0000 3.1875 0.0000
0.0000 0.0000 6.1693
Rh Fe Ta
1 1 2
Direct
0.5000 0.5000 0.7481
0.0000 0.0000 0.4922
0.5000 0.5000 0.2762
0.0000 0.0000 0.9835

=====

Pm3TmGa3, optimized geometry, DFT PBE; DFT formation energy = -0.3547 eV per atom; total magnetization = 0.0 Bohr magnetons per cell
1.0
-4.1994 4.0043 -4.3468
2.2872 -4.8474 -4.8821
-5.7695 -4.3318 1.7169
Pm Tm Ga
6 2 6
Direct
0.2529 0.7471 0.0000
0.6553 0.6553 0.3542
0.3447 0.3447 0.6458
0.8124 0.1876 0.5000
0.1876 0.8124 0.5000
0.7471 0.2529 0.0000
0.2712 0.2712 0.1233
0.7288 0.7288 0.8767
0.4990 0.0065 0.2598
0.0405 0.0405 0.8038
0.9595 0.9595 0.1962
0.9935 0.5010 0.7402
0.0065 0.4990 0.2598
0.5010 0.9935 0.7402

=====

LaFeSe2, optimized geometry, DFT PBE; E above lowest polymorph = 345 meV per atom; total magnetization = 0.0 Bohr magnetons per cell
1.0
5.7512 0.0000 0.0000
0.0000 5.7512 0.0000
2.8756 2.8756 6.3576
Fe Se La
2 4 2
Direct
0.2500 0.7500 0.5000
0.5000 0.5000 0.0000
0.5333 0.1250 0.2500
0.2167 0.6250 0.2500
0.3750 0.4667 0.7500
0.8750 0.7833 0.7500
0.7500 0.2500 0.5000
0.0000 0.0000 0.0000